Entry from the Alexandria database: crystalline LiIrSe2 at its relaxed geometry (PBE).

```
LiIrSe2
1.0
-0.6175 1.2372 -4.8786
-1.7558 -3.4970 3.2250
-5.2951 4.2771 1.7549
Ir Li Se
1 1 2
Cartesian
-2.5105 -0.0606 -0.3881
-5.1580 2.0779 0.4894
-0.1462 0.1181 0.0485
-2.5013 2.0204 0.8290
```

## Properties
As for the total energy: -4.55 eV per atom. Its mass density is 4.862 g cm⁻³. As for the total magnetization: 0.0000 μB per atom. For the density of states at the Fermi level, the calculation gives 2.16 states/eV/cell. The value obtained for the raw formation energy is -0.12 eV per atom.


Entry from the Alexandria database: crystalline Li2IrSe at its relaxed geometry (PBE).

```
Li2IrSe
1.0
-6.5092 -3.4446 -0.8060
-0.6364 -0.5203 7.3627
-4.6847 0.1066 3.3298
Ir Se Li
2 2 4
Cartesian
0.0000 0.0000 0.0000
-7.3833 -2.6602 2.9011
-3.5728 -1.9824 3.2783
-4.4469 -1.1980 6.9854
-5.2111 -2.1342 1.2624
-2.4903 -0.7861 5.3200
-6.2036 -1.4155 5.0781
-9.7553 -3.3807 8.1125
```

## Properties
As for the total energy: -4.15 eV per atom. Its mass density is 7.287 g cm⁻³. As for the total magnetization: 0.0000 μB per atom. For the density of states at the Fermi level, the calculation gives 7.08 states/eV/cell. The value obtained for the raw formation energy is -0.11 eV per atom.


Entry from the Alexandria database: crystalline LiIr4Se at its relaxed geometry (PBE).

```
LiIr4Se
1.0
4.5573 -2.4659 0.5849
0.4348 -5.0244 -1.3257
2.7864 -1.3585 -4.1931
Li Ir Se
1 4 1
Cartesian
1.9446 -2.2122 -1.2335
3.4689 -4.8507 -0.9893
4.6431 -3.0203 -2.4209
4.8601 -5.5289 -3.0828
2.5848 -4.2977 -3.3748
0.0000 0.0000 0.0000
```

## Properties
As for the total energy: -6.32 eV per atom. Its mass density is 14.157 g cm⁻³. As for the total magnetization: 0.0000 μB per atom. For the density of states at the Fermi level, the calculation gives 6.33 states/eV/cell. The value obtained for the raw formation energy is 0.49 eV per atom.


Entry from the Alexandria database: crystalline LiIrSe3 at its relaxed geometry (PBE).

```
LiIrSe3
1.0
-3.9142 -2.7386 -1.4091
-0.2270 -2.0161 4.5487
-3.0715 3.6390 1.4596
Ir Se Li
1 3 1
Cartesian
0.0000 0.0000 0.0000
-0.1135 -1.0080 2.2743
-1.5358 1.8195 0.7298
-1.9571 -1.3693 -0.7046
-3.6064 -0.5579 2.2995
```

## Properties
As for the total energy: -4.05 eV per atom. Its mass density is 5.860 g cm⁻³. As for the total magnetization: 0.0000 μB per atom. For the density of states at the Fermi level, the calculation gives 6.93 states/eV/cell. The value obtained for the raw formation energy is 0.19 eV per atom.


Entry from the Alexandria database: crystalline LiIr2Se at its relaxed geometry (PBE).

```
LiIr2Se
1.0
3.9935 0.0000 0.0000
0.0000 2.8085 0.0014
0.0000 1.4038 5.2923
Ir Li Se
2 1 1
Cartesian
0.0000 2.2852 0.1179
1.9968 0.8746 1.3065
0.0000 2.2798 2.7510
1.9968 3.6872 3.7666
```

## Properties
As for the total energy: -5.82 eV per atom. Its mass density is 13.160 g cm⁻³. As for the total magnetization: 0.0000 μB per atom. For the density of states at the Fermi level, the calculation gives 2.16 states/eV/cell. The value obtained for the raw formation energy is -0.04 eV per atom.


Entry from the Alexandria database: crystalline LiIr2Se at its relaxed geometry (PBE).

```
LiIr2Se
1.0
-4.1173 0.9030 1.9255
-1.8521 -4.1035 1.0984
4.1836 1.7291 0.9912
Ir Li Se
2 1 1
Cartesian
0.0000 0.0000 0.0000
-2.9847 -1.6002 1.5120
-0.3266 -1.9873 1.8008
-1.4592 0.5159 2.2144
```

## Properties
As for the total energy: -5.66 eV per atom. Its mass density is 13.639 g cm⁻³. As for the total magnetization: 0.0000 μB per atom. For the density of states at the Fermi level, the calculation gives 2.63 states/eV/cell. The value obtained for the raw formation energy is 0.12 eV per atom.


Entry from the Alexandria database: crystalline LiIrSe2 at its relaxed geometry (PBE).

```
LiIrSe2
1.0
6.1661 0.0000 0.0000
0.0000 6.1661 0.0000
3.0830 3.0830 4.8359
Ir Se Li
2 4 2
Cartesian
0.0000 0.0000 0.0000
6.1661 3.0830 2.4180
4.7972 1.5415 1.2090
1.3689 4.6246 1.2090
4.6246 4.4519 3.6270
7.7076 7.8802 3.6270
3.0830 3.0830 0.0000
3.0830 6.1661 2.4180
```

## Properties
As for the total energy: -4.75 eV per atom. Its mass density is 6.450 g cm⁻³. As for the total magnetization: 0.0000 μB per atom. For the density of states at the Fermi level, the calculation gives 2.31 states/eV/cell. The value obtained for the raw formation energy is -0.32 eV per atom.


Entry from the Alexandria database: crystalline LiIr2Se at its relaxed geometry (PBE).

```
LiIr2Se
1.0
-2.4376 0.0440 -1.4102
1.1441 -2.4611 0.7527
-4.4731 0.2879 7.7411
Ir Li Se
2 1 1
Cartesian
-0.0063 0.0004 0.0109
-1.7833 -1.1354 1.6382
-2.2136 0.1425 3.8308
-3.9999 -0.9927 5.4742
```

## Properties
As for the total energy: -5.53 eV per atom. Its mass density is 12.701 g cm⁻³. As for the total magnetization: 0.0001 μB per atom. For the density of states at the Fermi level, the calculation gives 4.06 states/eV/cell. The value obtained for the raw formation energy is 0.25 eV per atom.